1.
A plane-wave DFT calculation with PBE was carried out for a relaxed La2AuCl crystal.

energy relative to the lowest polymorph listed for this composition = 0 kJ/mol of formula units
size of the total moment = 0.000 μB/f.u.
density of states at the Fermi level = 2.6 states/eV/cell
raw total energy = -4.9426 eV/atom
raw formation energy = -1198 meV/atom

Cell lengths 4.276, 4.276, 6.250 Å; angles 90.00, 90.00, 90.00 degrees
Space group P4/mmm (No. 123)
Inequivalent atoms, fractional coordinates:
1 La 0.000 0.000 0.000 [1 per cell]
2 La 0.500 0.500 0.500 [1 per cell]
3 Au 0.000 0.000 0.500 [1 per cell]
4 Cl 0.500 0.500 0.000 [1 per cell]

---

2.
A plane-wave DFT calculation with PBE was carried out for a relaxed Sr2PdBr2O2 crystal.

size of the total moment = 0.234 μB/f.u.
density of states at the Fermi level = 8.9 states/eV/cell
raw total energy = -4.9170 eV/atom
raw formation energy = -1800 meV/atom

Cell lengths 4.118, 4.118, 18.271 Å; angles 90.00, 90.00, 90.00 degrees
Space group I4/mmm (No. 139)
Inequivalent atoms, fractional coordinates:
1 Sr 0.000 0.000 0.095 [4 per cell]
2 Pd 0.000 0.000 0.500 [2 per cell]
3 Br 0.000 0.000 0.324 [4 per cell]
4 O 0.000 0.500 0.000 [4 per cell]

---

Q: Look up the density of states at the Fermi level of the second one.
A: 8.9 states/eV/cell